# LiNi2F6 (GGA+U, relaxed)
data_LiNi2F6
_cell_length_a 4.6310
_cell_length_b 4.6310
_cell_length_c 9.0907
_cell_angle_alpha 90.00
_cell_angle_beta 90.00
_cell_angle_gamma 90.00
_symmetry_space_group_name_H-M 'P 1'
_symmetry_Int_Tables_number 1
_symmetry_space_group_name_Hall 'P 1'
loop_
_atom_site_label
_atom_site_fract_x
_atom_site_fract_y
_atom_site_fract_z
Li1 0.0000 0.0000 0.0000
Li2 0.5000 0.5000 0.5000
Ni1 0.0000 0.0000 0.3326
Ni2 0.0000 0.0000 0.6674
Ni3 0.5000 0.5000 0.1674
Ni4 0.5000 0.5000 0.8326
F1 0.1929 0.1929 0.5000
F2 0.2015 0.2015 0.1703
F3 0.2015 0.2015 0.8297
F4 0.2985 0.7015 0.3297
F5 0.2985 0.7015 0.6703
F6 0.3071 0.6929 0.0000
F7 0.6929 0.3071 0.0000
F8 0.7015 0.2985 0.3297
F9 0.7015 0.2985 0.6703
F10 0.7985 0.7985 0.1703
F11 0.7985 0.7985 0.8297
F12 0.8071 0.8071 0.5000
# Calculated total energy = -4.145 eV per atom
# V = 195.0 Å³/cell